[1]
Density functional theory data (PBE) for TlCdCl2 after structural relaxation.

Cell and atoms, written as POSCAR:
```
TlCdCl2
1.0
7.8445 0.0890 0.1885
-3.4941 4.2745 -0.1080
0.8564 1.5652 3.3135
Tl Cl Cd
1 2 1
Cartesian
-1.3189 2.9199 1.6028 Tl
0.0000 0.0000 0.0000 Cl
4.3505 0.8271 1.7510 Cl
2.1752 2.1818 0.0402 Cd
```

Summary:
E above lowest polymorph: 109 meV/atom
raw formation energy: -2.46 eV/f.u.
size of the total moment: 0.0 μB per formula unit

[2]
Density functional theory data (PBE) for TlCdCl2 after structural relaxation.

Cell and atoms, written as POSCAR:
```
TlCdCl2
1.0
-2.0817 -1.5938 4.6341
-0.0316 3.2990 4.1791
-4.5910 2.0829 1.7128
Tl Cl Cd
1 2 1
Cartesian
-3.3522 1.8940 5.2630 Tl
-1.6761 0.9470 2.6315 Cl
-5.0282 2.8411 7.8945 Cl
0.0000 0.0000 0.0000 Cd
```

Summary:
E above lowest polymorph: 123 meV/atom
raw formation energy: -2.41 eV/f.u.
size of the total moment: 0.0 μB per formula unit

[3]
Density functional theory data (PBE) for TlCdCl2 after structural relaxation.

Cell and atoms, written as POSCAR:
```
TlCdCl2
1.0
-3.5659 -1.2868 0.0603
1.2350 -3.4655 -0.9167
0.7122 -1.6382 7.1521
Tl Cl Cd
1 2 1
Cartesian
-0.9874 -2.7857 1.3598 Tl
0.6971 -1.6036 7.0012 Cl
0.3711 -0.8537 3.7269 Cl
-0.6313 -3.6048 4.9358 Cd
```

Summary:
E above lowest polymorph: 125 meV/atom
raw formation energy: -2.40 eV/f.u.
size of the total moment: 0.0 μB per formula unit

[4]
Density functional theory data (PBE) for TlCdCl2 after structural relaxation.

Cell and atoms, written as POSCAR:
```
TlCdCl2
1.0
5.3433 0.0000 0.0000
0.0000 3.9187 0.0201
0.0000 1.9051 5.9457
Tl Cl Cd
1 2 1
Cartesian
0.0000 3.1493 2.5405 Tl
0.0000 5.1000 5.1265 Cl
2.6717 1.2149 1.7323 Cl
2.6717 5.0952 5.5153 Cd
```

Summary:
E above lowest polymorph: 23 meV/atom
raw formation energy: -2.81 eV/f.u.
size of the total moment: 0.0 μB per formula unit

[5]
Density functional theory data (PBE) for TlCd2Cl5 after structural relaxation.

Cell and atoms, written as POSCAR:
```
TlCd2Cl5
1.0
-4.5956 -2.8788 0.9163
4.8342 -3.4937 -3.2357
4.8527 -4.0480 11.6206
Tl Cd Cl
2 4 10
Cartesian
6.0130 -7.6523 6.1162 Tl
-0.9218 -2.7682 3.1849 Tl
1.6323 -6.7043 3.6284 Cd
-0.2248 -5.1551 -0.8188 Cd
3.4589 -3.7162 5.6727 Cd
5.3160 -5.2654 10.1200 Cd
4.2516 -9.4414 8.1666 Cl
3.0025 -8.3993 5.1752 Cl
3.9646 -5.1947 3.5640 Cl
1.8602 -3.4392 -1.4754 Cl
0.3412 -5.2246 1.8018 Cl
4.7500 -5.1959 7.4993 Cl
1.1266 -5.2258 5.7372 Cl
3.2310 -6.9813 10.7766 Cl
0.8396 -0.9792 1.1346 Cl
2.0888 -2.0212 4.1260 Cl
```

Summary:
raw formation energy: -8.42 eV/f.u.
size of the total moment: 0.0 μB per formula unit

[6]
Density functional theory data (PBE) for TlCdCl after structural relaxation.

Cell and atoms, written as POSCAR:
```
TlCdCl
1.0
5.3177 0.0000 0.0000
2.6588 4.6053 0.0000
2.6588 1.5351 4.3419
Tl Cl Cd
1 1 1
Cartesian
7.9765 4.6053 3.2564 Tl
5.3177 3.0702 2.1709 Cl
0.0000 0.0000 0.0000 Cd
```

Summary:
E above lowest polymorph: 47 meV/atom
raw formation energy: -1.23 eV/f.u.
size of the total moment: 0.0 μB per formula unit

[7]
Density functional theory data (PBE) for Tl5Cd2Cl12 after structural relaxation.

Cell and atoms, written as POSCAR:
```
Tl5Cd2Cl12
1.0
-3.8939 1.9451 -8.1315
-0.7013 -7.7656 -1.5217
-5.5557 3.2669 6.6258
Tl Cd Cl
5 2 12
Cartesian
-5.9173 0.8578 -1.6505 Tl
-4.3395 -0.0870 2.4437 Tl
-1.9470 0.9725 -4.0658 Tl
-5.8115 -2.4666 -5.4711 Tl
-4.2336 -3.4114 -1.3770 Tl
-0.5248 -5.8115 -1.1388 Cd
-0.1765 -1.9540 -0.3829 Cd
-0.8755 0.3783 -1.5272 Cl
-7.3164 3.2373 -3.1481 Cl
-7.6546 -0.5078 -3.8820 Cl
-5.9585 2.4761 1.4376 Cl
-6.3415 -1.7659 0.6064 Cl
-8.9563 0.9467 -0.7038 Cl
-1.1947 -3.5003 -2.3236 Cl
-4.1924 -5.0297 -4.4651 Cl
-3.8094 -0.7877 -3.6338 Cl
-2.8345 -5.7910 0.1207 Cl
-2.4963 -2.0458 0.8546 Cl
-9.2754 -2.9320 -1.5002 Cl
```

Summary:
raw formation energy: -17.11 eV/f.u.
size of the total moment: 0.0 μB per formula unit

[8]
Density functional theory data (PBE) for TlCdCl2 after structural relaxation.

Cell and atoms, written as POSCAR:
```
TlCdCl2
1.0
-1.9972 -1.0454 3.0930
-2.5821 -1.0916 -2.6056
3.1008 -6.7045 -0.2640
Tl Cl Cd
1 2 1
Cartesian
-1.5144 -2.7447 0.1777 Tl
3.0342 -6.5605 -0.2583 Cl
1.6170 -3.4963 -0.1377 Cl
0.0359 -6.0969 0.0457 Cd
```

Summary:
E above lowest polymorph: 123 meV/atom
raw formation energy: -2.41 eV/f.u.
size of the total moment: 0.0 μB per formula unit